First-principles (PBE-GGA) data for a geometry-optimized Pr6NdTm3 structure, as listed in Alexandria via LeMat-Bulk.

Summary:
- Energy: -4.559 eV/atom
- Energy above the lowest structure with this stoichiometry: 0.0 meV/atom

Cell lengths 11.852, 11.852, 6.512 Å; angles 90.00, 90.00, 130.82 degrees
Fractional positions:
Pr (0.014, 0.986, 0.500)
Pr (0.108, 0.545, 0.049)
Pr (0.263, 0.380, 0.300)
Pr (0.300, 0.700, 0.527)
Pr (0.380, 0.263, 0.800)
Pr (0.455, 0.892, 0.049)
Pr (0.545, 0.108, 0.549)
Pr (0.620, 0.737, 0.300)
Pr (0.700, 0.300, 0.027)
Pr (0.737, 0.620, 0.800)
Pr (0.892, 0.455, 0.549)
Pr (0.986, 0.014, 0.000)
Nd (0.154, 0.846, 0.730)
Nd (0.846, 0.154, 0.230)
Tm (0.042, 0.296, 0.709)
Tm (0.296, 0.042, 0.209)
Tm (0.419, 0.581, 0.821)
Tm (0.581, 0.419, 0.321)
Tm (0.704, 0.958, 0.709)
Tm (0.958, 0.704, 0.209)

=====

First-principles (PBE-GGA) data for a geometry-optimized Pr7Nd3Tm2 structure, as listed in Alexandria via LeMat-Bulk.

Summary:
- Energy: -4.634 eV/atom
- Energy above the lowest structure with this stoichiometry: 0.0 meV/atom

Cell lengths 5.998, 3.641, 19.407 Å; angles 90.00, 93.38, 90.00 degrees
Fractional positions:
Pr (0.000, 0.000, 0.000)
Pr (0.184, 0.500, 0.184)
Pr (0.257, 0.500, 0.535)
Pr (0.319, 0.000, 0.853)
Pr (0.681, 0.000, 0.147)
Pr (0.743, 0.500, 0.465)
Pr (0.816, 0.500, 0.816)
Nd (0.220, 0.000, 0.366)
Nd (0.500, 0.500, 0.000)
Nd (0.780, 0.000, 0.634)
Tm (0.290, 0.500, 0.703)
Tm (0.710, 0.500, 0.297)

=====

First-principles (PBE-GGA) data for a geometry-optimized PrNd6Tm4 structure, as listed in Alexandria via LeMat-Bulk.

Summary:
- Energy: -4.509 eV/atom
- Energy above the lowest structure with this stoichiometry: 45.3 meV/atom

Cell lengths 11.099, 11.099, 3.584 Å; angles 90.00, 90.00, 120.00 degrees
Fractional positions:
Pr (0.000, 0.000, 0.000)
Nd (0.183, 0.366, 0.500)
Nd (0.183, 0.817, 0.500)
Nd (0.523, 0.045, 0.000)
Nd (0.523, 0.477, 0.000)
Nd (0.634, 0.817, 0.500)
Nd (0.955, 0.477, 0.000)
Tm (0.324, 0.162, 0.500)
Tm (0.333, 0.667, 0.000)
Tm (0.838, 0.162, 0.500)
Tm (0.838, 0.676, 0.500)

=====

First-principles (PBE-GGA) data for a geometry-optimized Pr3NdTm7 structure, as listed in Alexandria via LeMat-Bulk.

Summary:
- Energy: -4.462 eV/atom
- Energy above the lowest structure with this stoichiometry: 0.0 meV/atom

Cell lengths 6.510, 6.653, 8.613 Å; angles 99.12, 98.67, 94.93 degrees
Fractional positions:
Pr (0.000, 0.000, 0.000)
Pr (0.203, 0.563, 0.160)
Pr (0.797, 0.437, 0.840)
Nd (0.500, 0.000, 0.500)
Tm (0.014, 0.764, 0.584)
Tm (0.273, 0.278, 0.784)
Tm (0.442, 0.793, 0.856)
Tm (0.500, 0.500, 0.500)
Tm (0.558, 0.207, 0.144)
Tm (0.727, 0.722, 0.216)
Tm (0.986, 0.236, 0.416)

=====

| no. | magnetization (μB per cell) |
| --- | --- |
| 1 | 0.000 |
| 2 | 0.000 |
| 3 | 0.000 |
| 4 | 0.000 |